(1)
Crystalline K2SrUI8 at its relaxed geometry. Source: Alexandria, functional PBE.

Unit cell a=8.249 b=7.661 c=9.793 alpha=90.00 beta=90.00 gamma=92.68
Sites, in units of the cell vectors:
I 0.314 0.215 0.000
I 0.868 0.229 0.776
I 0.677 0.757 0.500
Sr 0.000 0.000 0.500
I 0.132 0.771 0.776
I 0.132 0.771 0.224
K 0.500 0.500 0.747
K 0.500 0.500 0.253
U 0.000 0.000 0.000
I 0.323 0.243 0.500
I 0.686 0.785 0.000
I 0.868 0.229 0.224

The symmetry is No. 10. As for the total energy: -42.29 eV for the cell shown. The density of states at the Fermi level comes out at 11.1 states/eV/cell. The calculation puts the total magnetic moment at 0.167 μB/atom.

(2)
Crystalline Ac3InN at its relaxed geometry. Source: Alexandria, functional PBE.

Unit cell a=5.360 b=5.360 c=5.360 alpha=90.00 beta=90.00 gamma=90.00
Sites, in units of the cell vectors:
Ac 0.000 0.000 0.500
Ac 0.500 0.000 0.000
In 0.500 0.500 0.500
N 0.000 0.000 0.000
Ac 0.000 0.500 0.000

The symmetry is No. 221. As for the total energy: -26.81 eV for the cell shown. The density of states at the Fermi level comes out at 3.7 states/eV/cell. The calculation puts the total magnetic moment at 0.000 μB/atom.

(3)
Crystalline SiPb at its relaxed geometry. Source: Alexandria, functional PBE.

Unit cell a=6.268 b=6.268 c=6.268 alpha=90.00 beta=90.00 gamma=90.00
Sites, in units of the cell vectors:
Pb 0.000 0.000 0.000
Pb 0.500 0.000 0.500
Si 0.250 0.750 0.750
Pb 0.500 0.500 0.000
Pb 0.000 0.500 0.500
Si 0.250 0.250 0.250
Si 0.750 0.750 0.250
Si 0.750 0.250 0.750

The symmetry is No. 216. As for the total energy: -32.93 eV for the cell shown. The density of states at the Fermi level comes out at 1.1 states/eV/cell. The calculation puts the total magnetic moment at 0.000 μB/atom.

(4)
Crystalline Si2AuC at its relaxed geometry. Source: Alexandria, functional PBE.

Unit cell a=3.139 b=3.139 c=6.898 alpha=90.00 beta=90.00 gamma=120.00
Sites, in units of the cell vectors:
Si 0.000 0.000 0.838
Si 0.000 0.000 0.485
C 0.333 0.667 0.419
Au 0.333 0.667 0.091

The symmetry is No. 156. As for the total energy: -22.44 eV for the cell shown. The density of states at the Fermi level comes out at 0.6 states/eV/cell. The calculation puts the total magnetic moment at 0.000 μB/atom.

(5)
Crystalline NaTl2Hg6 at its relaxed geometry. Source: Alexandria, functional PBE.

Unit cell a=3.300 b=9.246 c=9.246 alpha=60.04 beta=90.02 gamma=90.02
Sites, in units of the cell vectors:
Hg 0.499 0.670 0.000
Hg 0.500 0.670 0.330
Tl 0.000 0.667 0.667
Hg 0.501 0.000 0.330
Tl 0.000 0.333 0.333
Hg 0.501 0.330 0.000
Na 0.000 0.000 0.000
Hg 0.500 0.330 0.670
Hg 0.499 0.000 0.670

The symmetry is No. 191. The density of states at the Fermi level comes out at 4.2 states/eV/cell. The calculated formation energy comes out at -0.08 eV per atom. The calculation puts the total magnetic moment at 0.000 μB/atom.

(6)
Crystalline CeScCoPt at its relaxed geometry. Source: Alexandria, functional PBE.

Unit cell a=4.767 b=4.767 c=4.767 alpha=60.00 beta=60.00 gamma=60.00
Sites, in units of the cell vectors:
Sc 0.750 0.750 0.750
Co 0.000 0.000 0.000
Pt 0.500 0.500 0.500
Ce 0.250 0.250 0.250

The symmetry is No. 216. The density of states at the Fermi level comes out at 6.8 states/eV/cell. The calculated formation energy comes out at -0.57 eV per atom. The calculation puts the total magnetic moment at 0.018 μB/atom.